No. 1
{
  "formula": "LuCdGe2",
  "functional": "GGA-PBE",
  "state": "relaxed",
  "lattice_angstrom": [[4.4927, 0.0000, 0.0000], [0.0000, 4.4927, 0.0000], [0.0000, 0.0000, 4.0427]],
  "species": ["Lu", "Cd", "Ge", "Ge"],
  "fractional_positions": [[0.0000, 0.0000, 0.0000], [0.5000, 0.5000, 0.0000], [0.0000, 0.5000, 0.5000], [0.5000, 0.0000, 0.5000]],
  "volume_a3_per_cell": 82,
  "total_energy_ry_per_atom": -0.295,
  "e_form_kcal_per_mol_atoms": -7.964,
  "n_ef_per_ev_cell": 1.82,
  "magnetic_moment_mub_per_fu": 0.0,
  "polymorph_energy_mev_per_atom": 0
}

=====

No. 2
{
  "formula": "LuCdGe2",
  "functional": "GGA-PBE",
  "state": "relaxed",
  "lattice_angstrom": [[4.5629, 0.0000, 0.0000], [-2.2814, 3.9516, 0.0000], [0.0000, 0.0000, 14.4806]],
  "species": ["Lu", "Lu", "Lu", "Cd", "Cd", "Cd", "Ge", "Ge", "Ge", "Ge", "Ge", "Ge"],
  "fractional_positions": [[0.0000, 0.0000, 0.0000], [0.3333, 0.6667, 0.6667], [0.6667, 0.3333, 0.3333], [0.0000, 0.0000, 0.5000], [0.3333, 0.6667, 0.1667], [0.6667, 0.3333, 0.8333], [0.0000, 0.0000, 0.2480], [0.0000, 0.0000, 0.7520], [0.3333, 0.6667, 0.4187], [0.3333, 0.6667, 0.9146], [0.6667, 0.3333, 0.0854], [0.6667, 0.3333, 0.5813]],
  "volume_a3_per_cell": 261,
  "total_energy_ry_per_atom": -0.281,
  "e_form_kcal_per_mol_atoms": -3.692,
  "n_ef_per_ev_cell": 5.05,
  "magnetic_moment_mub_per_fu": 0.0,
  "polymorph_energy_mev_per_atom": 185
}

=====

No. 3
{
  "formula": "NdLuCdGe",
  "functional": "GGA-PBE",
  "state": "relaxed",
  "lattice_angstrom": [[7.3295, 0.0000, 0.0000], [0.0000, 7.3295, 0.0000], [0.0000, 0.0000, 7.3295]],
  "species": ["Nd", "Nd", "Nd", "Nd", "Lu", "Lu", "Lu", "Lu", "Cd", "Cd", "Cd", "Cd", "Ge", "Ge", "Ge", "Ge"],
  "fractional_positions": [[0.0000, 0.0000, 0.0000], [0.0000, 0.5000, 0.5000], [0.5000, 0.0000, 0.5000], [0.5000, 0.5000, 0.0000], [0.0000, 0.0000, 0.5000], [0.0000, 0.5000, 0.0000], [0.5000, 0.0000, 0.0000], [0.5000, 0.5000, 0.5000], [0.2500, 0.2500, 0.2500], [0.2500, 0.7500, 0.7500], [0.7500, 0.2500, 0.7500], [0.7500, 0.7500, 0.2500], [0.2500, 0.2500, 0.7500], [0.2500, 0.7500, 0.2500], [0.7500, 0.2500, 0.2500], [0.7500, 0.7500, 0.7500]],
  "volume_a3_per_cell": 394,
  "total_energy_ry_per_atom": -0.305,
  "e_form_kcal_per_mol_atoms": -10.135,
  "n_ef_per_ev_cell": 11.25,
  "magnetic_moment_mub_per_fu": 0.0
}

=====

No. 4
{
  "formula": "LuCdGePd",
  "functional": "GGA-PBE",
  "state": "relaxed",
  "lattice_angstrom": [[6.7911, 0.0000, 0.0000], [0.0000, 6.7911, 0.0000], [0.0000, 0.0000, 6.7911]],
  "species": ["Lu", "Lu", "Lu", "Lu", "Cd", "Cd", "Cd", "Cd", "Ge", "Ge", "Ge", "Ge", "Pd", "Pd", "Pd", "Pd"],
  "fractional_positions": [[0.0000, 0.0000, 0.0000], [0.0000, 0.5000, 0.5000], [0.5000, 0.0000, 0.5000], [0.5000, 0.5000, 0.0000], [0.0000, 0.0000, 0.5000], [0.0000, 0.5000, 0.0000], [0.5000, 0.0000, 0.0000], [0.5000, 0.5000, 0.5000], [0.2500, 0.2500, 0.2500], [0.2500, 0.7500, 0.7500], [0.7500, 0.2500, 0.7500], [0.7500, 0.7500, 0.2500], [0.2500, 0.2500, 0.7500], [0.2500, 0.7500, 0.2500], [0.7500, 0.2500, 0.2500], [0.7500, 0.7500, 0.7500]],
  "volume_a3_per_cell": 313,
  "total_energy_ry_per_atom": -0.317,
  "e_form_kcal_per_mol_atoms": -11.589,
  "n_ef_per_ev_cell": 11.70,
  "magnetic_moment_mub_per_fu": 0.0
}

=====

No. 5
{
  "formula": "LuCdGePt",
  "functional": "GGA-PBE",
  "state": "relaxed",
  "lattice_angstrom": [[6.7950, 0.0000, 0.0000], [0.0000, 6.7950, 0.0000], [0.0000, 0.0000, 6.7950]],
  "species": ["Lu", "Lu", "Lu", "Lu", "Cd", "Cd", "Cd", "Cd", "Ge", "Ge", "Ge", "Ge", "Pt", "Pt", "Pt", "Pt"],
  "fractional_positions": [[0.0000, 0.0000, 0.0000], [0.0000, 0.5000, 0.5000], [0.5000, 0.0000, 0.5000], [0.5000, 0.5000, 0.0000], [0.0000, 0.0000, 0.5000], [0.0000, 0.5000, 0.0000], [0.5000, 0.0000, 0.0000], [0.5000, 0.5000, 0.5000], [0.2500, 0.2500, 0.7500], [0.2500, 0.7500, 0.2500], [0.7500, 0.2500, 0.2500], [0.7500, 0.7500, 0.7500], [0.2500, 0.2500, 0.2500], [0.2500, 0.7500, 0.7500], [0.7500, 0.2500, 0.7500], [0.7500, 0.7500, 0.2500]],
  "volume_a3_per_cell": 314,
  "total_energy_ry_per_atom": -0.337,
  "e_form_kcal_per_mol_atoms": -12.891,
  "n_ef_per_ev_cell": 17.41,
  "magnetic_moment_mub_per_fu": 0.0
}

=====

No. 6
{
  "formula": "YLuCdGe",
  "functional": "GGA-PBE",
  "state": "relaxed",
  "lattice_angstrom": [[7.2152, 0.0000, 0.0000], [0.0000, 7.2152, 0.0000], [0.0000, 0.0000, 7.2152]],
  "species": ["Y", "Y", "Y", "Y", "Lu", "Lu", "Lu", "Lu", "Cd", "Cd", "Cd", "Cd", "Ge", "Ge", "Ge", "Ge"],
  "fractional_positions": [[0.0000, 0.0000, 0.0000], [0.0000, 0.5000, 0.5000], [0.5000, 0.0000, 0.5000], [0.5000, 0.5000, 0.0000], [0.0000, 0.0000, 0.5000], [0.0000, 0.5000, 0.0000], [0.5000, 0.0000, 0.0000], [0.5000, 0.5000, 0.5000], [0.2500, 0.2500, 0.2500], [0.2500, 0.7500, 0.7500], [0.7500, 0.2500, 0.7500], [0.7500, 0.7500, 0.2500], [0.2500, 0.2500, 0.7500], [0.2500, 0.7500, 0.2500], [0.7500, 0.2500, 0.2500], [0.7500, 0.7500, 0.7500]],
  "volume_a3_per_cell": 376,
  "total_energy_ry_per_atom": -0.336,
  "e_form_kcal_per_mol_atoms": -10.314,
  "n_ef_per_ev_cell": 12.02,
  "magnetic_moment_mub_per_fu": 0.0
}

=====

No. 7
{
  "formula": "Mg3CdGe",
  "functional": "GGA-PBE",
  "state": "relaxed",
  "lattice_angstrom": [[5.1623, 0.0000, 0.0000], [0.0000, 5.1623, 0.0000], [0.0000, 0.0000, 5.1623]],
  "species": ["Mg", "Mg", "Mg", "Cd", "Ge"],
  "fractional_positions": [[0.0000, 0.0000, 0.5000], [0.0000, 0.5000, 0.0000], [0.5000, 0.0000, 0.0000], [0.0000, 0.0000, 0.0000], [0.5000, 0.5000, 0.5000]],
  "volume_a3_per_cell": 138,
  "total_energy_ry_per_atom": -0.117,
  "e_form_kcal_per_mol_atoms": 10.753,
  "n_ef_per_ev_cell": 2.77,
  "magnetic_moment_mub_per_fu": 0.0,
  "polymorph_energy_mev_per_atom": 355
}

=====

No. 8
{
  "formula": "MgCdGe2",
  "functional": "GGA-PBE",
  "state": "relaxed",
  "lattice_angstrom": [[7.8184, 0.0000, 0.0000], [0.0000, 7.8184, 0.0000], [0.0000, 0.0000, 5.6730]],
  "species": ["Mg", "Mg", "Mg", "Mg", "Cd", "Cd", "Cd", "Cd", "Ge", "Ge", "Ge", "Ge", "Ge", "Ge", "Ge", "Ge"],
  "fractional_positions": [[0.0000, 0.0000, 0.0000], [0.0000, 0.5000, 0.2500], [0.5000, 0.0000, 0.7500], [0.5000, 0.5000, 0.5000], [0.0000, 0.0000, 0.5000], [0.0000, 0.5000, 0.7500], [0.5000, 0.0000, 0.2500], [0.5000, 0.5000, 0.0000], [0.2404, 0.7500, 0.6250], [0.2500, 0.2404, 0.3750], [0.2500, 0.2596, 0.8750], [0.2596, 0.7500, 0.1250], [0.7404, 0.2500, 0.1250], [0.7500, 0.7404, 0.8750], [0.7500, 0.7596, 0.3750], [0.7596, 0.2500, 0.6250]],
  "volume_a3_per_cell": 347,
  "total_energy_ry_per_atom": -0.201,
  "e_form_kcal_per_mol_atoms": 4.675,
  "n_ef_per_ev_cell": 9.51,
  "magnetic_moment_mub_per_fu": 0.0,
  "polymorph_energy_mev_per_atom": 148
}

=====

What did the eighth record say?
{
  "formula": "MgCdGe2",
  "functional": "GGA-PBE",
  "state": "relaxed",
  "lattice_angstrom": [[7.8184, 0.0000, 0.0000], [0.0000, 7.8184, 0.0000], [0.0000, 0.0000, 5.6730]],
  "species": ["Mg", "Mg", "Mg", "Mg", "Cd", "Cd", "Cd", "Cd", "Ge", "Ge", "Ge", "Ge", "Ge", "Ge", "Ge", "Ge"],
  "fractional_positions": [[0.0000, 0.0000, 0.0000], [0.0000, 0.5000, 0.2500], [0.5000, 0.0000, 0.7500], [0.5000, 0.5000, 0.5000], [0.0000, 0.0000, 0.5000], [0.0000, 0.5000, 0.7500], [0.5000, 0.0000, 0.2500], [0.5000, 0.5000, 0.0000], [0.2404, 0.7500, 0.6250], [0.2500, 0.2404, 0.3750], [0.2500, 0.2596, 0.8750], [0.2596, 0.7500, 0.1250], [0.7404, 0.2500, 0.1250], [0.7500, 0.7404, 0.8750], [0.7500, 0.7596, 0.3750], [0.7596, 0.2500, 0.6250]],
  "volume_a3_per_cell": 347,
  "total_energy_ry_per_atom": -0.201,
  "e_form_kcal_per_mol_atoms": 4.675,
  "n_ef_per_ev_cell": 9.51,
  "magnetic_moment_mub_per_fu": 0.0,
  "polymorph_energy_mev_per_atom": 148
}